Compound: Sn3Te2Cl2
Source: Alexandria
Functional: PBE
Structure: optimized geometry

abc: 7.7415 7.7415 7.7626
angles: 105.17 105.17 33.66
With the nearest neighbours (Å) after each atom.
Element x y z (fractional)
Sn (0.0000, 0.0000, 0.0000)  2 Cl 2.83
Sn (0.2467, 0.2467, 0.7684)  3 Te 3.02-3.15, 3 Cl 3.02-3.33
Sn (0.7533, 0.7533, 0.2316)  3 Te 3.02-3.15, 3 Cl 3.02-3.33
Te (0.3818, 0.3818, 0.1389)  5 Sn 3.02-3.21
Te (0.6182, 0.6182, 0.8611)  5 Sn 3.02-3.21
Cl (0.1402, 0.1402, 0.3308)  3 Sn 2.83-3.02
Cl (0.8598, 0.8598, 0.6692)  3 Sn 2.83-3.02

Summary:
Spin magnetization, μB per atom: 0.000
Density, Mg/m³: 4.57
Energy above the most stable polymorph in this dataset, eV per formula unit: 0.00
ΔE_f (raw), meV/atom: -554